(one)
VASP calculation (GGA-PBE) on GePC2 after structural relaxation.

Cell: 3.9272 3.9272 3.9272 Å, 60.00 60.00 60.00°
Fractional positions:
1 Ge 0.0000 0.0000 0.0000
2 P 0.5000 0.5000 0.5000
3 C 0.2500 0.2500 0.2500
4 C 0.7500 0.7500 0.7500

## Properties
- space group = Fm-3m

(two)
VASP calculation (GGA-PBE) on GePC2 after structural relaxation.

Cell: 5.3351 5.3351 5.3351 Å, 129.86 129.86 73.64°
Fractional positions:
1 Ge 0.0000 0.0000 0.0000
2 Ge 0.7500 0.2500 0.5000
3 P 0.2500 0.7500 0.5000
4 P 0.5000 0.5000 0.0000
5 C 0.1660 0.6250 0.0410
6 C 0.3750 0.4160 0.5410
7 C 0.5840 0.1250 0.9590
8 C 0.8750 0.8340 0.4590

## Properties
- space group = I-42d

The structure with the greatest stability is (two).

(one)
VASP calculation (GGA-PBE) on GePC3 after structural relaxation.

Cell: 3.6970 3.6970 3.6970 Å, 90.00 90.00 90.00°
Fractional positions:
1 Ge 0.0000 0.0000 0.0000
2 P 0.5000 0.5000 0.5000
3 C 0.0000 0.5000 0.5000
4 C 0.5000 0.0000 0.5000
5 C 0.5000 0.5000 0.0000

## Properties
- space group = Pm-3m

(two)
VASP calculation (GGA-PBE) on GePC3 after structural relaxation.

Cell: 3.9579 3.9579 3.9579 Å, 90.00 90.00 90.00°
Fractional positions:
1 Ge 0.0000 0.0000 0.0000
2 P 0.5000 0.5000 0.5000
3 C 0.0000 0.0000 0.5000
4 C 0.0000 0.5000 0.0000
5 C 0.5000 0.0000 0.0000

## Properties
- space group = Pm-3m

The structure with the greatest stability is (one).

(one)
VASP calculation (GGA-PBE) on GeP2C after structural relaxation.

Cell: 4.2483 4.2483 4.2483 Å, 60.00 60.00 60.00°
Fractional positions:
1 Ge 0.0000 0.0000 0.0000
2 P 0.2500 0.2500 0.2500
3 P 0.7500 0.7500 0.7500
4 C 0.5000 0.5000 0.5000

## Properties
- space group = Fm-3m

(two)
VASP calculation (GGA-PBE) on GeP2C after structural relaxation.

Cell: 5.4050 5.4050 5.4050 Å, 116.74 116.74 95.75°
Fractional positions:
1 Ge 0.0000 0.0000 0.0000
2 Ge 0.7500 0.2500 0.5000
3 P 0.2163 0.6250 0.0913
4 P 0.3750 0.4663 0.5913
5 P 0.5337 0.1250 0.9087
6 P 0.8750 0.7837 0.4087
7 C 0.2500 0.7500 0.5000
8 C 0.5000 0.5000 0.0000

## Properties
- space group = I-42d

The structure with the greatest stability is (two).

(one)
VASP calculation (GGA-PBE) on Ge3PC after structural relaxation.

Cell: 4.6681 4.6681 4.6681 Å, 90.00 90.00 90.00°
Fractional positions:
1 Ge 0.0000 0.0000 0.5000
2 Ge 0.0000 0.5000 0.0000
3 Ge 0.5000 0.0000 0.0000
4 P 0.0000 0.0000 0.0000
5 C 0.5000 0.5000 0.5000

## Properties
- space group = Pm-3m

(two)
VASP calculation (GGA-PBE) on Ge3PC after structural relaxation.

Cell: 4.3619 4.3619 4.3619 Å, 90.00 90.00 90.00°
Fractional positions:
1 Ge 0.0000 0.0000 0.5000
2 Ge 0.0000 0.5000 0.0000
3 Ge 0.5000 0.0000 0.0000
4 P 0.5000 0.5000 0.5000
5 C 0.0000 0.0000 0.0000

## Properties
- space group = Pm-3m

The structure with the greatest stability is (two).

(one)
VASP calculation (GGA-PBE) on Ge2PC after structural relaxation.

Cell: 5.8195 5.8195 5.8195 Å, 124.79 124.79 81.89°
Fractional positions:
1 Ge 0.0664 0.6250 0.9414
2 Ge 0.3750 0.3164 0.4414
3 Ge 0.6836 0.1250 0.0586
4 Ge 0.8750 0.9336 0.5586
5 P 0.2500 0.7500 0.5000
6 P 0.5000 0.5000 0.0000
7 C 0.0000 0.0000 0.0000
8 C 0.7500 0.2500 0.5000

## Properties
- space group = I-42d

(two)
VASP calculation (GGA-PBE) on Ge2PC after structural relaxation.

Cell: 4.3528 4.3528 4.3528 Å, 60.00 60.00 60.00°
Fractional positions:
1 Ge 0.2500 0.2500 0.2500
2 Ge 0.7500 0.7500 0.7500
3 P 0.0000 0.0000 0.0000
4 C 0.5000 0.5000 0.5000

## Properties
- space group = Fm-3m

The structure with the greatest stability is (one).

(one)
VASP calculation (GGA-PBE) on Ge3PbC after structural relaxation.

Cell: 4.5659 4.5659 4.5659 Å, 90.00 90.00 90.00°
Fractional positions:
1 Ge 0.0000 0.0000 0.5000
2 Ge 0.0000 0.5000 0.0000
3 Ge 0.5000 0.0000 0.0000
4 Pb 0.5000 0.5000 0.5000
5 C 0.0000 0.0000 0.0000

## Properties
- space group = Pm-3m

(two)
VASP calculation (GGA-PBE) on Ge3PbC after structural relaxation.

Cell: 5.4860 5.4860 5.4860 Å, 90.00 90.00 90.00°
Fractional positions:
1 Ge 0.0000 0.0000 0.5000
2 Ge 0.0000 0.5000 0.0000
3 Ge 0.5000 0.0000 0.0000
4 Pb 0.0000 0.0000 0.0000
5 C 0.5000 0.5000 0.5000

## Properties
- space group = Pm-3m

The structure with the greatest stability is (one).

(one)
VASP calculation (GGA-PBE) on Ge2PbC2 after structural relaxation.

Cell: 7.9084 7.9084 3.1795 Å, 90.00 90.00 90.00°
Fractional positions:
1 Ge 0.1500 0.3500 0.0000
2 Ge 0.3500 0.8500 0.0000
3 Ge 0.6500 0.1500 0.0000
4 Ge 0.8500 0.6500 0.0000
5 Pb 0.0000 0.0000 0.0000
6 Pb 0.5000 0.5000 0.0000
7 C 0.0598 0.5598 0.5000
8 C 0.4402 0.0598 0.5000
9 C 0.5598 0.9402 0.5000
10 C 0.9402 0.4402 0.5000

## Properties
- space group = P4/mbm

(two)
VASP calculation (GGA-PBE) on Ge2PbC2 after structural relaxation.

Cell: 5.6080 5.6080 5.6080 Å, 137.71 137.71 61.35°
Fractional positions:
1 Ge 0.1739 0.1739 0.0000
2 Ge 0.8261 0.8261 0.0000
3 Pb 0.5000 0.5000 0.0000
4 C 0.2500 0.7500 0.5000
5 C 0.7500 0.2500 0.5000

## Properties
- space group = I4/mmm

The structure with the greatest stability is (one).

(one)
VASP calculation (GGA-PBE) on Ge2PbC after structural relaxation.

Cell: 4.8128 4.8128 4.8128 Å, 60.00 60.00 60.00°
Fractional positions:
1 Ge 0.2500 0.2500 0.2500
2 Ge 0.7500 0.7500 0.7500
3 Pb 0.0000 0.0000 0.0000
4 C 0.5000 0.5000 0.5000

## Properties
- space group = Fm-3m

(two)
VASP calculation (GGA-PBE) on Ge2PbC after structural relaxation.

Cell: 6.4662 6.4662 6.4662 Å, 128.04 128.04 76.56°
Fractional positions:
1 Ge 0.0223 0.6250 0.8973
2 Ge 0.3750 0.2723 0.3973
3 Ge 0.7277 0.1250 0.1027
4 Ge 0.8750 0.9777 0.6027
5 Pb 0.2500 0.7500 0.5000
6 Pb 0.5000 0.5000 0.0000
7 C 0.0000 0.0000 0.0000
8 C 0.7500 0.2500 0.5000

## Properties
- space group = I-42d

The structure with the greatest stability is (two).

(one)
VASP calculation (GGA-PBE) on Ge2PdC2 after structural relaxation.

Cell: 6.5273 6.5273 3.2567 Å, 90.00 90.00 90.00°
Fractional positions:
1 Ge 0.1325 0.3675 0.0000
2 Ge 0.3675 0.8675 0.0000
3 Ge 0.6325 0.1325 0.0000
4 Ge 0.8675 0.6325 0.0000
5 Pd 0.0000 0.0000 0.5000
6 Pd 0.5000 0.5000 0.5000
7 C 0.2373 0.2627 0.5000
8 C 0.2627 0.7627 0.5000
9 C 0.7373 0.2373 0.5000
10 C 0.7627 0.7373 0.5000

## Properties
- space group = P4/mbm

(two)
VASP calculation (GGA-PBE) on Ge2PdC2 after structural relaxation.

Cell: 4.5716 4.5716 4.5716 Å, 109.91 109.91 108.59°
Fractional positions:
1 Ge 0.2500 0.7500 0.5000
2 Ge 0.7500 0.2500 0.5000
3 Pd 0.0000 0.0000 0.0000
4 C 0.3797 0.3797 0.0000
5 C 0.6203 0.6203 0.0000

## Properties
- space group = I4/mmm

The structure with the greatest stability is (two).

(one)
VASP calculation (GGA-PBE) on Ge3PdC after structural relaxation.

Cell: 4.3056 4.3056 4.3056 Å, 90.00 90.00 90.00°
Fractional positions:
1 Ge 0.0000 0.0000 0.5000
2 Ge 0.0000 0.5000 0.0000
3 Ge 0.5000 0.0000 0.0000
4 Pd 0.5000 0.5000 0.5000
5 C 0.0000 0.0000 0.0000

## Properties
- space group = Pm-3m

(two)
VASP calculation (GGA-PBE) on Ge3PdC after structural relaxation.

Cell: 4.8062 4.8062 4.8062 Å, 90.00 90.00 90.00°
Fractional positions:
1 Ge 0.0000 0.0000 0.5000
2 Ge 0.0000 0.5000 0.0000
3 Ge 0.5000 0.0000 0.0000
4 Pd 0.0000 0.0000 0.0000
5 C 0.5000 0.5000 0.5000

## Properties
- space group = Pm-3m

The structure with the greatest stability is (one).

(one)
VASP calculation (GGA-PBE) on GePdC3 after structural relaxation.

Cell: 3.9358 3.9358 3.9358 Å, 90.00 90.00 90.00°
Fractional positions:
1 Ge 0.0000 0.0000 0.0000
2 Pd 0.5000 0.5000 0.5000
3 C 0.0000 0.0000 0.5000
4 C 0.0000 0.5000 0.0000
5 C 0.5000 0.0000 0.0000

## Properties
- space group = Pm-3m

(two)
VASP calculation (GGA-PBE) on GePdC3 after structural relaxation.

Cell: 4.0648 4.0648 4.0648 Å, 90.00 90.00 90.00°
Fractional positions:
1 Ge 0.0000 0.0000 0.0000
2 Pd 0.5000 0.5000 0.5000
3 C 0.0000 0.5000 0.5000
4 C 0.5000 0.0000 0.5000
5 C 0.5000 0.5000 0.0000

## Properties
- space group = Pm-3m

The structure with the greatest stability is (one).

(one)
VASP calculation (GGA-PBE) on Pm2GeC after structural relaxation.

Cell: 3.2264 3.2264 7.7114 Å, 90.00 90.00 90.00°
Fractional positions:
1 Pm 0.0000 0.0000 0.1949
2 Pm 0.0000 0.0000 0.8051
3 Ge 0.5000 0.5000 0.5000
4 C 0.5000 0.5000 0.0000

## Properties
- space group = P4/mmm

(two)
VASP calculation (GGA-PBE) on Pm2GeC after structural relaxation.

Cell: 6.0420 6.0420 6.3755 Å, 90.00 90.00 131.23°
Fractional positions:
1 Pm 0.0000 0.0000 0.0000
2 Pm 0.0000 0.0000 0.5000
3 Pm 0.2945 0.7055 0.7500
4 Pm 0.7055 0.2945 0.2500
5 Ge 0.3744 0.6256 0.2500
6 Ge 0.6256 0.3744 0.7500
7 C 0.1806 0.8194 0.2500
8 C 0.8194 0.1806 0.7500

## Properties
- space group = Cmcm

The structure with the greatest stability is (two).

(one)
VASP calculation (GGA-PBE) on GePtC3 after structural relaxation.

Cell: 3.9228 3.9228 3.9228 Å, 90.00 90.00 90.00°
Fractional positions:
1 Ge 0.0000 0.0000 0.0000
2 Pt 0.5000 0.5000 0.5000
3 C 0.0000 0.0000 0.5000
4 C 0.0000 0.5000 0.0000
5 C 0.5000 0.0000 0.0000

## Properties
- space group = Pm-3m

(two)
VASP calculation (GGA-PBE) on GePtC3 after structural relaxation.

Cell: 4.0600 4.0600 4.0600 Å, 90.00 90.00 90.00°
Fractional positions:
1 Ge 0.0000 0.0000 0.0000
2 Pt 0.5000 0.5000 0.5000
3 C 0.0000 0.5000 0.5000
4 C 0.5000 0.0000 0.5000
5 C 0.5000 0.5000 0.0000

## Properties
- space group = Pm-3m

The structure with the greatest stability is (two).

(one)
VASP calculation (GGA-PBE) on GePt2C after structural relaxation.

Cell: 4.2696 4.2696 4.2696 Å, 60.00 60.00 60.00°
Fractional positions:
1 Ge 0.0000 0.0000 0.0000
2 Pt 0.2500 0.2500 0.2500
3 Pt 0.7500 0.7500 0.7500
4 C 0.5000 0.5000 0.5000

## Properties
- space group = Fm-3m

(two)
VASP calculation (GGA-PBE) on GePt2C after structural relaxation.

Cell: 6.4389 6.4389 6.4389 Å, 133.98 133.98 67.11°
Fractional positions:
1 Ge 0.0000 0.0000 0.0000
2 Ge 0.7500 0.2500 0.5000
3 Pt 0.2060 0.6250 0.0810
4 Pt 0.3750 0.4560 0.5810
5 Pt 0.5440 0.1250 0.9190
6 Pt 0.8750 0.7940 0.4190
7 C 0.2500 0.7500 0.5000
8 C 0.5000 0.5000 0.0000

## Properties
- space group = I-42d

The structure with the greatest stability is (two).